Record 1
Dy3C2: relaxed, PBE-GGA.

Calculated values
DFT total energy = -33.676 eV/cell

Unit cell a=3.6184 b=3.6184 c=9.2646 alpha=90.00 beta=90.00 gamma=120.00
Element x y z (fractional)
Dy1 0.0000 0.0000 0.0000
Dy2 0.3333 0.6667 0.2965
Dy3 0.6667 0.3333 0.7035
C1 0.3333 0.6667 0.8274
C2 0.6667 0.3333 0.1726



Record 2
NdSc2S3: relaxed, PBE-GGA.

Calculated values
formation energy (no corrections) = -1.34 eV/atom
DFT total energy = -75.718 eV/cell

Unit cell a=5.6919 b=7.6896 c=7.6896 alpha=101.82 beta=90.00 gamma=90.00
Element x y z (fractional)
Nd1 0.2500 0.3993 0.6007
Nd2 0.7500 0.6007 0.3993
Sc1 0.0000 0.1776 0.1776
Sc2 0.5000 0.1776 0.1776
Sc3 0.0000 0.8224 0.8224
Sc4 0.5000 0.8224 0.8224
S1 0.7500 0.0970 0.9030
S2 0.7500 0.2362 0.4484
S3 0.2500 0.4484 0.2362
S4 0.7500 0.5516 0.7638
S5 0.2500 0.7638 0.5516
S6 0.2500 0.9030 0.0970



Record 3
CdReNiHg2: relaxed, PBE-GGA.

Calculated values
DFT total energy = -13.258 eV/cell

Unit cell a=4.9020 b=4.8845 c=4.9020 alpha=90.00 beta=90.00 gamma=90.00
Last column: magnetic moment on the atom in μB.
Element x y z (fractional)
Re1 0.5000 0.5000 0.5000  3.49
Ni1 0.0000 0.0000 0.0000  0.10
Hg1 0.0000 0.0000 0.5000  -0.01
Hg2 0.5000 0.0000 0.0000  0.02
Cd1 0.0000 0.5000 0.0000  -0.02



Record 4
Nd2Ga8Ni: relaxed, PBE-GGA.

Calculated values
DFT total energy = -44.815 eV/cell

Unit cell a=4.3324 b=4.3324 c=11.3559 alpha=90.00 beta=90.00 gamma=90.00
Element x y z (fractional)
Nd1 0.0000 0.0000 0.3043
Nd2 0.0000 0.0000 0.6957
Ga1 0.0000 0.5000 0.5000
Ga2 0.5000 0.0000 0.5000
Ga3 0.5000 0.5000 0.3077
Ga4 0.5000 0.5000 0.6923
Ga5 0.0000 0.5000 0.1152
Ga6 0.5000 0.0000 0.1152
Ga7 0.0000 0.5000 0.8848
Ga8 0.5000 0.0000 0.8848
Ni1 0.0000 0.0000 0.0000